Record 1
First-principles (PBE) data for crystalline KTbCoS3 at its relaxed geometry, as listed in OQMD.

Total energy ... -5.302 eV/atom

a b c (Å): 16.1429 4.0803 8.3510
angles (deg): 90.00 103.17 90.00
With the nearest neighbours (Å) after each atom.
Space group C2/m (No. 12)
Inequivalent atoms, fractional coordinates:
K 0.1483 0.0000 0.0691 x4  7 S 3.09-3.23
Tb 0.1648 0.0000 0.5858 x4  6 S 2.59-2.79
Co 0.0017 0.5000 0.2611 x4  2 S 2.17-2.35
S 0.0000 0.0000 0.5000 x2  2 Tb 2.59, 4 Co 2.86
S 0.0000 0.5000 0.0000 x2  2 Co 2.17
S 0.1477 0.5000 0.7906 x4  1 Co 2.35
S 0.1584 0.5000 0.3562 x4  1 Co 2.47

Record 2
First-principles (PBE) data for crystalline KYCoS3 at its relaxed geometry, as listed in OQMD.

Total energy ... -5.816 eV/atom

a b c (Å): 8.8014 3.8705 9.1520
angles (deg): 90.00 107.16 90.00
With the nearest neighbours (Å) after each atom.
Space group P2_1/m (No. 11)
Inequivalent atoms, fractional coordinates:
K 0.1929 0.2500 0.2224 x2  7 S 3.17-3.45
Y 0.3340 0.7500 0.8522 x2  6 S 2.71-2.86
Co 0.0770 0.2500 0.5876 x2  4 S 2.18-2.28
S 0.1137 0.2500 0.8450 x2  1 Co 2.28
S 0.1780 0.7500 0.5298 x2  3 Co 2.18-2.26
S 0.4526 0.7500 0.1610 x2  3 Y 2.71-2.72

Record 3
First-principles (PBE) data for crystalline KYCoS3 at its relaxed geometry, as listed in OQMD.

Total energy ... -5.611 eV/atom

a b c (Å): 16.1291 4.0619 8.3404
angles (deg): 90.00 103.00 90.00
With the nearest neighbours (Å) after each atom.
Space group C2/m (No. 12)
Inequivalent atoms, fractional coordinates:
K 0.1488 0.0000 0.0701 x4  7 S 3.09-3.21
Y 0.1646 0.0000 0.5842 x4  6 S 2.59-2.78
Co 0.0004 0.5000 0.2612 x4  2 S 2.18-2.35
S 0.0000 0.0000 0.5000 x2  2 Y 2.59, 4 Co 2.85
S 0.0000 0.5000 0.0000 x2  2 Co 2.18
S 0.1486 0.5000 0.7903 x4  1 Co 2.35
S 0.1589 0.5000 0.3559 x4  1 Co 2.50, 3 Y 2.77-2.78

Record 4
First-principles (PBE) data for crystalline K5CoSb2 at its relaxed geometry, as listed in OQMD.

Total energy ... -2.811 eV/atom

a b c (Å): 5.9939 5.9939 28.0829
angles (deg): 90.00 90.00 120.00
With the nearest neighbours (Å) after each atom.
Space group R-3m (No. 166, hexagonal axes)
Inequivalent atoms, fractional coordinates:
K 0.0000 0.0000 0.0000 x3  8 K 3.76-3.83, 6 Sb 4.09
K 0.0000 0.0000 0.1364 x6  3 Co 3.56, 4 K 3.83-3.86, 3 Sb 3.84
K 0.0000 0.0000 0.2814 x6  4 Sb 3.53-3.64, 3 K 3.76
Co 0.0000 0.0000 0.5000 x3  2 Sb 2.50
Sb 0.0000 0.0000 0.4109 x6  1 Co 2.50

Record 5
First-principles (PBE) data for crystalline KCo2Se2 at its relaxed geometry, as listed in OQMD.

Total energy ... -4.907 eV/atom

a b c (Å): 3.8782 3.8782 13.3092
angles (deg): 90.00 90.00 90.00
With the nearest neighbours (Å) after each atom.
Space group I4/mmm (No. 139)
Inequivalent atoms, fractional coordinates:
K 0.0000 0.0000 0.0000 x2  8 Se 3.39
Co 0.0000 0.5000 0.2500 x4  4 Se 2.35
Se 0.0000 0.0000 0.3496 x4  4 Co 2.35

Record 6
First-principles (PBE) data for crystalline KCo3Se5 at its relaxed geometry, as listed in OQMD.

Total energy ... -4.777 eV/atom

a b c (Å): 5.6167 5.6167 7.0910
angles (deg): 90.00 90.00 120.00
With the nearest neighbours (Å) after each atom.
Space group P6/mmm (No. 191)
Inequivalent atoms, fractional coordinates:
K 0.0000 0.0000 0.0000 x1  14 Se 3.55-3.74
Co 0.0000 0.5000 0.5000 x3  4 Se 2.34
Se 0.0000 0.0000 0.5000 x1  6 Co 2.81
Se 0.3333 0.6667 0.2628 x4  3 Co 2.34

Record 7
First-principles (PBE) data for crystalline K6CoSe4 at its relaxed geometry, as listed in OQMD.

Total energy ... -3.442 eV/atom

a b c (Å): 10.2107 10.2107 7.9256
angles (deg): 90.00 90.00 120.00
With the nearest neighbours (Å) after each atom.
Space group P6_3mc (No. 186)
Inequivalent atoms, fractional coordinates:
K 0.0542 0.5271 0.0000 x6  5 Se 3.32-3.48, 1 Co 3.55, 2 K 3.66
K 0.1468 0.2936 0.6814 x6  4 Se 3.26-3.30
Co 0.3333 0.6667 0.3851 x2  4 Se 2.49-2.50
Se 0.1989 0.3979 0.2868 x6  1 Co 2.50
Se 0.3333 0.6667 0.6991 x2  1 Co 2.49

Record 8
First-principles (PBE) data for crystalline K2CoSe3 at its relaxed geometry, as listed in OQMD.

Total energy ... -3.932 eV/atom

a b c (Å): 6.6676 7.1433 8.8070
angles (deg): 72.24 70.01 67.68
With the nearest neighbours (Å) after each atom.
Space group P-1 (No. 2)
Inequivalent atoms, fractional coordinates:
K 0.1056 0.1964 0.1194 x2  7 Se 3.31-3.67
K 0.3546 0.5376 0.3126 x2  6 Se 3.28-3.59
Co 0.3719 0.0544 0.6697 x2  4 Se 2.25-2.29
Se 0.1673 0.3746 0.7140 x2  1 Co 2.25
Se 0.2683 0.9652 0.4859 x2  2 Co 2.29
Se 0.3721 0.8212 0.9083 x2  1 Co 2.25

Record 9
First-principles (PBE) data for crystalline K4CoSiSe6 at its relaxed geometry, as listed in OQMD.

Total energy ... -3.952 eV/atom

a b c (Å): 6.7075 7.2909 8.9052
angles (deg): 72.37 70.98 66.52
With the nearest neighbours (Å) after each atom.
Space group P1 (No. 1)
Inequivalent atoms, fractional coordinates:
K 0.0000 0.0000 0.0000 x1  6 Se 3.33-3.50
K 0.2118 0.3891 0.2394 x1  6 Se 3.31-3.49
K 0.4559 0.7247 0.4392 x1  6 Se 3.34-3.65
K 0.7605 0.6580 0.7999 x1  6 Se 3.36-3.75
Co 0.4747 0.2472 0.7997 x1  4 Se 2.24-2.37
Si 0.7446 0.1316 0.4326 x1  4 Se 2.25-2.36
Se 0.2802 0.5663 0.8434 x1  1 Co 2.25
Se 0.3858 0.1562 0.6014 x1  1 Si 2.35, 1 Co 2.37
Se 0.4772 0.0153 0.0324 x1  1 Co 2.24
Se 0.7348 0.3761 0.2063 x1  1 Si 2.25
Se 0.8363 0.2156 0.6318 x1  1 Si 2.36, 1 Co 2.36
Se 0.9418 0.8082 0.3992 x1  1 Si 2.25

Record 10
First-principles (PBE) data for crystalline KZnCoSe3 at its relaxed geometry, as listed in OQMD.

Total energy ... -3.835 eV/atom

a b c (Å): 3.7803 14.6615 9.9866
angles (deg): 90.00 90.00 90.00
With the nearest neighbours (Å) after each atom.
Space group Cmcm (No. 63)
Inequivalent atoms, fractional coordinates:
K 0.0000 0.2460 0.2500 x4  8 Se 3.34-3.54, 2 Zn 3.59
Zn 0.0000 0.4620 0.7500 x4  4 Se 2.41-2.43
Co 0.0000 0.0000 0.0000 x4  6 Se 2.48-2.68
Se 0.0000 0.0658 0.7500 x4  2 Zn 2.43, 2 Co 2.68
Se 0.0000 0.3926 0.5312 x8  1 Zn 2.41, 2 Co 2.48

Record 11
First-principles (PBE) data for crystalline KCoSi at its relaxed geometry, as listed in OQMD.

Energy above the most stable polymorph in this dataset ... 0 meV per atom

a b c (Å): 6.2458 6.2458 6.2458
angles (deg): 90.00 90.00 90.00
With the nearest neighbours (Å) after each atom.
Space group F-43m (No. 216)
Inequivalent atoms, fractional coordinates:
K 0.0000 0.0000 0.0000 x4  4 Co 2.70
Co 0.2500 0.2500 0.2500 x4  4 K 2.70, 4 Si 2.70
Si 0.0000 0.0000 0.5000 x4  4 Co 2.70

Record 12
First-principles (PBE) data for crystalline K2Co5Sn3 at its relaxed geometry, as listed in OQMD.

Total energy ... -4.877 eV/atom

a b c (Å): 4.3905 4.3905 21.1639
angles (deg): 90.00 90.00 90.00
With the nearest neighbours (Å) after each atom.
Space group I4/mmm (No. 139)
Inequivalent atoms, fractional coordinates:
K 0.0000 0.0000 0.1944 x4  5 Sn 3.41-3.75, 4 Co 3.56
Co 0.0000 0.0000 0.5000 x2  8 Co 2.56, 2 Sn 2.71
Co 0.0000 0.5000 0.0620 x8  4 Sn 2.56-2.60, 3 Co 2.56-2.63
Sn 0.0000 0.0000 0.0000 x2  8 Co 2.56
Sn 0.0000 0.0000 0.3717 x4  5 Co 2.60-2.71